# 1
# KHgSbAs2

KHgSbAs2 after structural relaxation (PBE, Alexandria via LeMat-Bulk).

```
KHgSbAs2
1.0
5.380 0.000 0.000
0.000 5.651 0.000
0.000 0.000 5.380
K Sb As Hg
1 1 2 1
Direct
0.500 0.500 0.500 K
0.000 0.500 0.000 Sb
0.000 0.000 0.500 As
0.500 0.000 0.000 As
0.000 0.000 0.000 Hg
```

Computed properties:
Raw formation energy (meV per atom): 485
Spin magnetization (μB/f.u.): 0.0
Crystal system: tetragonal

---

# 2
# KHgAsSe3

KHgAsSe3 after structural relaxation (PBE, Alexandria via LeMat-Bulk).

```
KHgAsSe3
1.0
-0.294 -2.176 -3.525
1.582 -7.414 4.444
-10.139 1.139 0.143
K Hg As Se
2 2 2 6
Direct
0.250 0.206 0.251 K
0.750 0.794 0.749 K
0.250 0.104 0.623 Hg
0.750 0.896 0.377 Hg
0.250 0.664 0.108 As
0.750 0.336 0.892 As
0.750 0.866 0.107 Se
0.250 0.134 0.893 Se
0.250 0.772 0.481 Se
0.750 0.228 0.519 Se
0.750 0.450 0.135 Se
0.250 0.550 0.865 Se
```

Computed properties:
Raw formation energy (meV per atom): -437
Spin magnetization (μB/f.u.): 0.0
Crystal system: monoclinic

---

# 3
# K2HgAsSe

K2HgAsSe after structural relaxation (PBE, Alexandria via LeMat-Bulk).

```
K2HgAsSe
1.0
-2.348 4.949 3.559
-3.026 -3.059 2.257
4.539 -1.126 4.561
K As Hg Se
2 1 1 1
Direct
0.000 0.000 0.500 K
0.500 0.000 0.000 K
0.000 0.500 0.000 As
0.000 0.000 0.000 Hg
0.500 0.500 0.500 Se
```

Computed properties:
Raw formation energy (meV per atom): -37
Spin magnetization (μB/f.u.): 1.0
Crystal system: tetragonal

---

# 4
# KHgAs2Se

KHgAs2Se after structural relaxation (PBE, Alexandria via LeMat-Bulk).

```
KHgAs2Se
1.0
-2.653 -1.199 4.428
0.329 -5.425 -1.271
4.576 -0.343 2.650
K As Hg Se
1 2 1 1
Direct
0.500 0.500 0.500 K
0.000 0.000 0.500 As
0.500 0.000 0.000 As
0.000 0.000 0.000 Hg
0.000 0.500 0.000 Se
```

Computed properties:
Raw formation energy (meV per atom): 363
Spin magnetization (μB/f.u.): 1.5
Offset from the most stable computed form (kJ/mol of formula units): 0
Crystal system: tetragonal

---

# 5
# KHgAs2Se

KHgAs2Se after structural relaxation (PBE, Alexandria via LeMat-Bulk).

```
KHgAs2Se
1.0
5.805 0.000 0.000
0.000 5.805 0.000
0.000 0.000 5.749
K As Hg Se
1 2 1 1
Direct
0.000 0.000 0.000 K
0.000 0.500 0.000 As
0.500 0.000 0.000 As
0.500 0.500 0.500 Hg
0.000 0.000 0.500 Se
```

Computed properties:
Raw formation energy (meV per atom): 1241
Spin magnetization (μB/f.u.): 1.5
Offset from the most stable computed form (kJ/mol of formula units): 424
Crystal system: tetragonal

---

# 6
# K2SiHgAs

K2SiHgAs after structural relaxation (PBE, Alexandria via LeMat-Bulk).

```
K2SiHgAs
1.0
-0.689 -6.306 1.205
4.212 -0.007 2.371
-3.092 1.388 5.496
K As Si Hg
2 1 1 1
Direct
0.000 0.000 0.500 K
0.500 0.000 0.000 K
0.500 0.500 0.500 As
0.000 0.000 0.000 Si
0.000 0.500 0.000 Hg
```

Computed properties:
Raw formation energy (meV per atom): 417
Spin magnetization (μB/f.u.): 2.6
Crystal system: tetragonal

---

# 7
# KSi2HgAs

KSi2HgAs after structural relaxation (PBE, Alexandria via LeMat-Bulk).

```
KSi2HgAs
1.0
5.054 0.000 0.000
0.000 5.741 0.000
0.000 0.000 5.054
K As Si Hg
1 1 2 1
Direct
0.000 0.500 0.000 K
0.500 0.500 0.500 As
0.000 0.000 0.500 Si
0.500 0.000 0.000 Si
0.000 0.000 0.000 Hg
```

Computed properties:
Raw formation energy (meV per atom): 959
Spin magnetization (μB/f.u.): 0.0
Crystal system: tetragonal

---

# 8
# KSn2HgAs

KSn2HgAs after structural relaxation (PBE, Alexandria via LeMat-Bulk).

```
KSn2HgAs
1.0
-0.261 -4.570 -3.020
5.416 1.570 -2.843
2.808 -2.707 3.855
K As Hg Sn
1 1 1 2
Direct
0.000 0.500 0.000 K
0.000 0.000 0.000 As
0.500 0.500 0.500 Hg
0.000 0.000 0.500 Sn
0.500 0.000 0.000 Sn
```

Computed properties:
E_form (eV per atom): 0.16
Spin magnetization (μB/f.u.): 0.0
Crystal system: tetragonal

---

# 9
# KSrHgAs

KSrHgAs after structural relaxation (PBE, Alexandria via LeMat-Bulk).

```
KSrHgAs
1.0
-2.955 -4.319 -1.871
2.392 -3.787 -3.290
1.020 -5.111 1.931
K Sr As Hg
1 1 1 1
Direct
0.750 0.750 0.750 K
0.250 0.250 0.250 Sr
0.000 0.000 0.000 As
0.500 0.500 0.500 Hg
```

Computed properties:
E_form (eV per atom): -0.60
Spin magnetization (μB/f.u.): 0.0
Crystal system: cubic

---

# 10
# KHgTe4As2

KHgTe4As2 after structural relaxation (PBE, Alexandria via LeMat-Bulk).

```
KHgTe4As2
1.0
-7.022 2.917 4.235
-3.287 -2.858 5.463
-0.324 3.203 6.201
K Hg Te As
1 1 4 2
Direct
0.000 0.000 0.000 K
0.500 0.500 0.500 Hg
0.506 0.066 0.497 Te
0.069 0.934 0.503 Te
0.931 0.497 0.066 Te
0.494 0.503 0.934 Te
0.151 0.349 0.349 As
0.849 0.651 0.651 As
```

Computed properties:
Raw formation energy (meV per atom): -91
Spin magnetization (μB/f.u.): 0.0
Crystal system: orthorhombic

---

# 11
# KHgTe3As

KHgTe3As after structural relaxation (PBE, Alexandria via LeMat-Bulk).

```
KHgTe3As
1.0
4.416 0.000 0.000
0.000 8.946 0.554
0.000 -3.814 10.132
K Hg Te As
2 2 6 2
Direct
0.250 0.226 0.277 K
0.750 0.774 0.723 K
0.250 0.082 0.625 Hg
0.750 0.918 0.375 Hg
0.750 0.888 0.106 Te
0.250 0.112 0.894 Te
0.250 0.752 0.448 Te
0.750 0.248 0.552 Te
0.750 0.459 0.140 Te
0.250 0.541 0.860 Te
0.250 0.674 0.115 As
0.750 0.326 0.885 As
```

Computed properties:
Raw formation energy (meV per atom): -330
Spin magnetization (μB/f.u.): 0.0
Crystal system: monoclinic

---

# 12
# KHg2Te4As

KHg2Te4As after structural relaxation (PBE, Alexandria via LeMat-Bulk).

```
KHg2Te4As
1.0
7.359 0.000 0.000
3.679 6.457 -0.387
3.679 0.331 6.460
K Hg Te As
1 2 4 1
Direct
0.000 0.000 0.000 K
0.500 0.678 0.322 Hg
0.500 0.322 0.678 Hg
0.603 0.508 0.861 Te
0.397 0.139 0.492 Te
0.972 0.492 0.139 Te
0.028 0.861 0.508 Te
0.000 0.500 0.500 As
```

Computed properties:
Raw formation energy (meV per atom): -231
Spin magnetization (μB/f.u.): 0.0
Crystal system: orthorhombic

---

# 13
# K2HgTe4As

K2HgTe4As after structural relaxation (PBE, Alexandria via LeMat-Bulk).

```
K2HgTe4As
1.0
9.026 -0.152 -0.537
-0.158 9.026 -0.537
-4.688 -4.691 7.491
K Hg Te As
4 2 8 2
Direct
0.500 0.000 0.000 K
0.500 0.000 0.500 K
0.000 0.000 0.500 K
0.500 0.500 0.000 K
0.000 0.500 0.999 Hg
0.000 0.500 0.501 Hg
0.205 0.752 0.012 Te
0.748 0.295 0.488 Te
0.252 0.705 0.513 Te
0.795 0.248 0.987 Te
0.737 0.718 0.928 Te
0.782 0.764 0.573 Te
0.218 0.237 0.428 Te
0.263 0.282 0.072 Te
0.500 0.500 0.500 As
0.000 0.000 0.000 As
```

Computed properties:
Raw formation energy (meV per atom): -307
Spin magnetization (μB/f.u.): 0.0
Crystal system: monoclinic